# 1
# RbLiReO4 | Alexandria | PBE | optimized geometry
data_RbLiReO4
_chemical_formula_sum 'Rb1 Li1 Re1 O4'
_cell_length_a 6.0774
_cell_length_b 6.0774
_cell_length_c 5.8049
_cell_angle_alpha 121.57
_cell_angle_beta 121.57
_cell_angle_gamma 90.00
_symmetry_space_group_name_H-M 'P 1'
_symmetry_Int_Tables_number 1
_symmetry_space_group_name_Hall 'P 1'
loop_
_atom_site_label
_atom_site_fract_x
_atom_site_fract_y
_atom_site_fract_z
Rb1 0.0000 0.0000 0.0000
Li1 0.5000 0.5000 0.0000
Re1 0.2500 0.7500 0.5000
O1 0.2574 0.1004 0.7100
O2 0.3904 0.7426 0.2900
O3 0.4526 0.6096 0.7100
O4 0.8996 0.5474 0.2900
# Final energy (eV per formula unit): -47.391
# Symmetry: I-4
# Total magnetic moment (Bohr magnetons per cell): 1.0
# Crystal system: tetragonal

=====

# 2
# CaZn5 | Alexandria | PBE | optimized geometry
data_CaZn5
_chemical_formula_sum 'Ca1 Zn5'
_cell_length_a 5.3821
_cell_length_b 5.3821
_cell_length_c 4.2657
_cell_angle_alpha 90.00
_cell_angle_beta 90.00
_cell_angle_gamma 120.00
_symmetry_space_group_name_H-M 'P 1'
_symmetry_Int_Tables_number 1
_symmetry_space_group_name_Hall 'P 1'
loop_
_atom_site_label
_atom_site_fract_x
_atom_site_fract_y
_atom_site_fract_z
Ca1 0.0000 0.0000 0.0000
Zn1 0.6667 0.3334 0.0000
Zn2 0.3333 0.6666 0.0000
Zn3 0.0000 0.5000 0.5000
Zn4 0.5000 0.5000 0.5000
Zn5 0.5000 0.0000 0.5000
# Density of states at the Fermi level (states/eV per cell): 3.07
# Energy of formation (meV/atom): -209
# Symmetry: P6/mmm
# Total magnetic moment (Bohr magnetons per cell): 0.0
# Crystal system: hexagonal